Entry 1:
BaTaOs2O8 | PBE-GGA | relaxed

Output
DFT total energy: -7.825 eV per atom
formation energy (no corrections): -1.500 eV per atom
SG: P-3

Geometry as CIF:
```
data_BaTaOs2O8
_symmetry_space_group_name_H-M 'P 1'
_symmetry_Int_Tables_number 1
_cell_length_a 5.714
_cell_length_b 5.714
_cell_length_c 7.329
_cell_angle_alpha 90.00
_cell_angle_beta 90.00
_cell_angle_gamma 120.00
loop_
_symmetry_equiv_pos_as_xyz
'x,y,z'
loop_
_atom_site_label
_atom_site_type_symbol
_atom_site_fract_x
_atom_site_fract_y
_atom_site_fract_z
Os1 Os 0.333 0.667 0.770
Os2 Os 0.667 0.333 0.230
O1 O 0.333 0.667 0.015
O2 O 0.667 0.333 0.985
O3 O 0.850 0.681 0.334
O4 O 0.169 0.850 0.666
O5 O 0.681 0.831 0.666
O6 O 0.150 0.319 0.666
O7 O 0.831 0.150 0.334
O8 O 0.319 0.169 0.334
Ta1 Ta 0.000 0.000 0.500
Ba1 Ba 0.000 0.000 0.000
```

Entry 2:
Ba2TaOs3O12 | PBE-GGA | relaxed

Output
DFT total energy: -7.799 eV per atom
formation energy (no corrections): -1.750 eV per atom
SG: R-3m

Geometry as CIF:
```
data_Ba2TaOs3O12
_symmetry_space_group_name_H-M 'P 1'
_symmetry_Int_Tables_number 1
_cell_length_a 7.391
_cell_length_b 7.391
_cell_length_c 7.391
_cell_angle_alpha 58.75
_cell_angle_beta 58.75
_cell_angle_gamma 58.75
loop_
_symmetry_equiv_pos_as_xyz
'x,y,z'
loop_
_atom_site_label
_atom_site_type_symbol
_atom_site_fract_x
_atom_site_fract_y
_atom_site_fract_z
Ba1 Ba 0.332 0.332 0.332
Ba2 Ba 0.668 0.668 0.668
O1 O 0.931 0.308 0.308
O2 O 0.077 0.671 0.077
O3 O 0.077 0.077 0.671
O4 O 0.923 0.329 0.923
O5 O 0.329 0.923 0.923
O6 O 0.308 0.308 0.931
O7 O 0.692 0.692 0.069
O8 O 0.671 0.077 0.077
O9 O 0.923 0.923 0.329
O10 O 0.069 0.692 0.692
O11 O 0.692 0.069 0.692
O12 O 0.308 0.931 0.308
Os1 Os 0.000 0.500 0.000
Os2 Os 0.000 0.000 0.500
Os3 Os 0.500 0.000 0.000
Ta1 Ta 0.000 0.000 0.000
```

Entry 3:
BaTbOs2O8 | PBE-GGA | relaxed

Output
DFT total energy: -7.395 eV per atom
formation energy (no corrections): -1.672 eV per atom
SG: P-3

Geometry as CIF:
```
data_BaTbOs2O8
_symmetry_space_group_name_H-M 'P 1'
_symmetry_Int_Tables_number 1
_cell_length_a 5.952
_cell_length_b 5.952
_cell_length_c 7.621
_cell_angle_alpha 90.00
_cell_angle_beta 90.00
_cell_angle_gamma 120.00
loop_
_symmetry_equiv_pos_as_xyz
'x,y,z'
loop_
_atom_site_label
_atom_site_type_symbol
_atom_site_fract_x
_atom_site_fract_y
_atom_site_fract_z
O1 O 0.837 0.672 0.303
O2 O 0.166 0.837 0.697
O3 O 0.328 0.166 0.303
O4 O 0.672 0.834 0.697
O5 O 0.333 0.667 0.010
O6 O 0.163 0.328 0.697
O7 O 0.834 0.163 0.303
O8 O 0.667 0.333 0.990
Os1 Os 0.333 0.667 0.774
Os2 Os 0.667 0.333 0.226
Ba1 Ba 0.000 0.000 0.000
Tb1 Tb 0.000 0.000 0.500
```

Entry 4:
BaTb2OsO8 | PBE-GGA | relaxed

Output
DFT total energy: -7.407 eV per atom
formation energy (no corrections): -2.233 eV per atom
SG: P2/m

Geometry as CIF:
```
data_BaTb2OsO8
_symmetry_space_group_name_H-M 'P 1'
_symmetry_Int_Tables_number 1
_cell_length_a 5.195
_cell_length_b 5.188
_cell_length_c 7.234
_cell_angle_alpha 89.99
_cell_angle_beta 89.99
_cell_angle_gamma 86.09
loop_
_symmetry_equiv_pos_as_xyz
'x,y,z'
loop_
_atom_site_label
_atom_site_type_symbol
_atom_site_fract_x
_atom_site_fract_y
_atom_site_fract_z
O1 O 0.188 0.810 0.817
O2 O 0.332 0.329 0.500
O3 O 0.812 0.190 0.183
O4 O 0.188 0.811 0.183
O5 O 0.812 0.189 0.817
O6 O 0.752 0.754 0.000
O7 O 0.248 0.246 0.000
O8 O 0.668 0.671 0.500
Ba1 Ba 0.000 0.000 0.500
Tb1 Tb 0.500 0.500 0.263
Tb2 Tb 0.500 0.500 0.737
Os1 Os 0.000 0.000 0.000
```

Entry 5:
BaTc2OsO8 | PBE-GGA | relaxed

Output
DFT total energy: -7.589 eV per atom
formation energy (no corrections): -1.460 eV per atom
SG: C2/m

Geometry as CIF:
```
data_BaTc2OsO8
_symmetry_space_group_name_H-M 'P 1'
_symmetry_Int_Tables_number 1
_cell_length_a 5.193
_cell_length_b 5.192
_cell_length_c 7.124
_cell_angle_alpha 78.41
_cell_angle_beta 78.41
_cell_angle_gamma 74.89
loop_
_symmetry_equiv_pos_as_xyz
'x,y,z'
loop_
_atom_site_label
_atom_site_type_symbol
_atom_site_fract_x
_atom_site_fract_y
_atom_site_fract_z
O1 O 0.235 0.235 0.920
O2 O 0.747 0.222 0.199
O3 O 0.222 0.747 0.199
O4 O 0.778 0.253 0.801
O5 O 0.653 0.653 0.479
O6 O 0.347 0.347 0.521
O7 O 0.253 0.778 0.801
O8 O 0.765 0.765 0.080
Os1 Os 0.000 0.000 0.000
Tc1 Tc 0.560 0.560 0.262
Tc2 Tc 0.440 0.440 0.738
Ba1 Ba 0.000 0.000 0.500
```

Entry 6:
Ba2TcOsO6 | PBE-GGA | relaxed

Output
DFT total energy: -7.297 eV per atom
formation energy (no corrections): -1.778 eV per atom
SG: I4/mmm

Geometry as CIF:
```
data_Ba2TcOsO6
_symmetry_space_group_name_H-M 'P 1'
_symmetry_Int_Tables_number 1
_cell_length_a 5.421
_cell_length_b 5.421
_cell_length_c 6.540
_cell_angle_alpha 65.50
_cell_angle_beta 65.51
_cell_angle_gamma 90.00
loop_
_symmetry_equiv_pos_as_xyz
'x,y,z'
loop_
_atom_site_label
_atom_site_type_symbol
_atom_site_fract_x
_atom_site_fract_y
_atom_site_fract_z
O1 O 0.253 0.253 0.000
O2 O 0.253 0.747 0.000
O3 O 0.747 0.253 0.000
O4 O 0.808 0.808 0.384
O5 O 0.747 0.747 0.000
O6 O 0.192 0.192 0.616
Tc1 Tc 0.000 0.000 0.000
Ba1 Ba 0.750 0.250 0.500
Ba2 Ba 0.250 0.750 0.500
Os1 Os 0.500 0.500 0.000
```

Entry 7:
Ba2ThOs3O12 | PBE-GGA | relaxed

Output
DFT total energy: -7.664 eV per atom
formation energy (no corrections): -1.861 eV per atom
SG: R-3m

Geometry as CIF:
```
data_Ba2ThOs3O12
_symmetry_space_group_name_H-M 'P 1'
_symmetry_Int_Tables_number 1
_cell_length_a 7.340
_cell_length_b 7.340
_cell_length_c 7.340
_cell_angle_alpha 59.88
_cell_angle_beta 59.88
_cell_angle_gamma 59.88
loop_
_symmetry_equiv_pos_as_xyz
'x,y,z'
loop_
_atom_site_label
_atom_site_type_symbol
_atom_site_fract_x
_atom_site_fract_y
_atom_site_fract_z
O1 O 0.890 0.389 0.890
O2 O 0.086 0.709 0.709
O3 O 0.291 0.914 0.291
O4 O 0.709 0.709 0.086
O5 O 0.890 0.890 0.389
O6 O 0.914 0.291 0.291
O7 O 0.709 0.086 0.709
O8 O 0.110 0.110 0.611
O9 O 0.110 0.611 0.110
O10 O 0.389 0.890 0.890
O11 O 0.291 0.291 0.914
O12 O 0.611 0.110 0.110
Th1 Th 0.000 0.000 0.000
Os1 Os 0.000 0.000 0.500
Os2 Os 0.000 0.500 0.000
Os3 Os 0.500 0.000 0.000
Ba1 Ba 0.365 0.365 0.365
Ba2 Ba 0.635 0.635 0.635
```

Entry 8:
BaThOsO6 | PBE-GGA | relaxed

Output
DFT total energy: -7.931 eV per atom
formation energy (no corrections): -2.340 eV per atom
SG: Imma

Geometry as CIF:
```
data_BaThOsO6
_symmetry_space_group_name_H-M 'P 1'
_symmetry_Int_Tables_number 1
_cell_length_a 7.591
_cell_length_b 7.383
_cell_length_c 7.273
_cell_angle_alpha 120.50
_cell_angle_beta 121.46
_cell_angle_gamma 90.00
loop_
_symmetry_equiv_pos_as_xyz
'x,y,z'
loop_
_atom_site_label
_atom_site_type_symbol
_atom_site_fract_x
_atom_site_fract_y
_atom_site_fract_z
O1 O 0.420 0.170 0.840
O2 O 0.872 0.122 0.744
O3 O 0.454 0.172 0.263
O4 O 0.809 0.590 0.263
O5 O 0.809 0.172 0.263
O6 O 0.580 0.830 0.160
O7 O 0.546 0.410 0.737
O8 O 0.191 0.828 0.737
O9 O 0.454 0.590 0.263
O10 O 0.128 0.878 0.256
O11 O 0.191 0.410 0.737
O12 O 0.546 0.828 0.737
Th1 Th 0.500 0.000 0.500
Th2 Th 0.000 0.000 0.500
Os1 Os 0.500 0.000 0.000
Os2 Os 0.500 0.500 0.000
Ba1 Ba 0.163 0.413 0.326
Ba2 Ba 0.837 0.587 0.674
```

Entry 9:
BaTiOsO6 | PBE-GGA | relaxed

Output
DFT total energy: -7.686 eV per atom
formation energy (no corrections): -2.042 eV per atom
SG: Imma

Geometry as CIF:
```
data_BaTiOsO6
_symmetry_space_group_name_H-M 'P 1'
_symmetry_Int_Tables_number 1
_cell_length_a 7.039
_cell_length_b 7.237
_cell_length_c 7.198
_cell_angle_alpha 120.18
_cell_angle_beta 119.27
_cell_angle_gamma 90.00
loop_
_symmetry_equiv_pos_as_xyz
'x,y,z'
loop_
_atom_site_label
_atom_site_type_symbol
_atom_site_fract_x
_atom_site_fract_y
_atom_site_fract_z
O1 O 0.430 0.085 0.254
O2 O 0.570 0.915 0.746
O3 O 0.547 0.297 0.093
O4 O 0.177 0.927 0.354
O5 O 0.824 0.085 0.254
O6 O 0.570 0.331 0.746
O7 O 0.430 0.669 0.254
O8 O 0.176 0.331 0.746
O9 O 0.176 0.915 0.746
O10 O 0.823 0.073 0.646
O11 O 0.453 0.703 0.907
O12 O 0.824 0.669 0.254
Ba1 Ba 0.099 0.349 0.198
Ba2 Ba 0.901 0.651 0.802
Os1 Os 0.500 0.000 0.000
Os2 Os 0.500 0.500 0.000
Ti1 Ti 0.000 0.000 0.500
Ti2 Ti 0.500 0.000 0.500
```